# SrHgAu2

A geometry-optimized SrHgAu2 structure (GGA-PBEsol, the Alexandria database).

Output
- total moment (Bohr magnetons per cell) = 0.00
- mass density (g/cm³) = 12.70
- formation enthalpy at 0 K (eV per formula unit) = -1.67

a = 4.6177 Å, b = 5.3062 Å, c = 4.6177 Å
α = 115.79°, β = 90.00°, γ = 115.79°
Fractional coordinates of all 4 atoms:
Au 0.0000 0.0000 0.0000
Au 0.7500 0.5000 0.2500
Hg 0.5000 0.0000 0.5000
Sr 0.2500 0.5000 0.7500

***

# SrHgAu2

A geometry-optimized SrHgAu2 structure (GGA-PBEsol, the Alexandria database).

Output
- total moment (Bohr magnetons per cell) = 0.00
- mass density (g/cm³) = 11.68
- formation enthalpy at 0 K (eV per formula unit) = -1.89

a = 4.7339 Å, b = 4.7345 Å, c = 5.6933 Å
α = 114.53°, β = 90.00°, γ = 120.00°
Fractional coordinates of all 4 atoms:
Sr 0.7418 0.4837 0.2251
Au 0.9569 0.9138 0.8703
Au 0.2732 0.5464 0.8199
Hg 0.5281 0.0562 0.5847

***

# Sr2HgAu

A geometry-optimized Sr2HgAu structure (GGA-PBEsol, the Alexandria database).

Output
- total moment (Bohr magnetons per cell) = 0.00
- mass density (g/cm³) = 8.43
- formation enthalpy at 0 K (eV per formula unit) = -2.46

a = 3.8253 Å, b = 3.8253 Å, c = 7.7107 Å
α = 90.00°, β = 90.00°, γ = 90.00°
Fractional coordinates of all 4 atoms:
Sr 0.0000 0.0000 0.2614
Sr 0.0000 0.0000 0.7386
Au 0.5000 0.5000 0.5000
Hg 0.5000 0.5000 0.0000

***

# SrHg2Au

A geometry-optimized SrHg2Au structure (GGA-PBEsol, the Alexandria database).

Output
- total moment (Bohr magnetons per cell) = 0.00
- mass density (g/cm³) = 12.16
- formation enthalpy at 0 K (eV per formula unit) = -1.69

a = 5.0970 Å, b = 5.0970 Å, c = 5.0970 Å
α = 60.00°, β = 60.00°, γ = 60.00°
Fractional coordinates of all 4 atoms:
Sr 0.5000 0.5000 0.5000
Au 0.0000 0.0000 0.0000
Hg 0.2500 0.2500 0.2500
Hg 0.7500 0.7500 0.7500

***

# SrHg2Au

A geometry-optimized SrHg2Au structure (GGA-PBEsol, the Alexandria database).

Output
- total moment (Bohr magnetons per cell) = 0.00
- mass density (g/cm³) = 11.64
- formation enthalpy at 0 K (eV per formula unit) = -1.62

a = 3.7647 Å, b = 3.7647 Å, c = 6.9010 Å
α = 90.00°, β = 90.00°, γ = 90.00°
Fractional coordinates of all 4 atoms:
Sr 0.0000 0.0000 0.5179
Au 0.5000 0.5000 0.7739
Hg 0.0000 0.0000 0.9892
Hg 0.5000 0.5000 0.2190

***

# SrHgAu

A geometry-optimized SrHgAu structure (GGA-PBEsol, the Alexandria database).

Output
- total moment (Bohr magnetons per cell) = 0.00
- mass density (g/cm³) = 10.91
- formation enthalpy at 0 K (eV per formula unit) = -1.60

a = 3.8286 Å, b = 3.8286 Å, c = 5.7187 Å
α = 109.56°, β = 109.56°, γ = 90.00°
Fractional coordinates of all 3 atoms:
Sr 0.3369 0.3369 0.6739
Au 0.0120 0.0120 0.0239
Hg 0.6511 0.6511 0.3022

***

# SrHg4Au

A geometry-optimized SrHg4Au structure (GGA-PBEsol, the Alexandria database).

Output
- total moment (Bohr magnetons per cell) = 0.00
- mass density (g/cm³) = 12.49
- formation enthalpy at 0 K (eV per formula unit) = -1.24

a = 5.8900 Å, b = 5.8900 Å, c = 5.8900 Å
α = 60.00°, β = 60.00°, γ = 60.00°
Fractional coordinates of all 6 atoms:
Au 0.0000 0.0000 0.0000
Hg 0.3744 0.3744 0.3744
Hg 0.3744 0.3744 0.8769
Hg 0.8769 0.3744 0.3744
Hg 0.3744 0.8769 0.3744
Sr 0.7500 0.7500 0.7500

***

# SrHgAu

A geometry-optimized SrHgAu structure (GGA-PBEsol, the Alexandria database).

Output
- total moment (Bohr magnetons per cell) = 0.00
- mass density (g/cm³) = 10.34
- formation enthalpy at 0 K (eV per formula unit) = -1.82

a = 3.8630 Å, b = 4.8269 Å, c = 4.8269 Å
α = 120.00°, β = 90.00°, γ = 90.00°
Fractional coordinates of all 3 atoms:
Sr 0.5000 0.6667 0.3333
Au 0.0000 0.0000 0.0000
Hg 0.0000 0.3333 0.6667